No. 1
Entry from Alexandria via LeMat-Bulk: an optimized crystal structure of CsNaMg2I (PBEsol).

Lattice parameters (Å, degrees): 5.8848 5.8848 6.2914 90.00 90.00 90.00
Positions (direct):
Cs: 0.0000 0.0000 0.0000
Na: 0.5000 0.5000 0.5000
Mg: 0.0000 0.5000 0.5000
Mg: 0.5000 0.0000 0.5000
I: 0.5000 0.5000 0.0000

* calculated total energy: -1.573 eV per atom
* raw formation energy: -0.065 eV per atom
* calculated density: 2.5 g/cm3

***

No. 2
Entry from Alexandria via LeMat-Bulk: an optimized crystal structure of BeZnPt2 (PBEsol).

Lattice parameters (Å, degrees): 2.7729 2.7729 6.5602 90.00 90.00 90.00
Positions (direct):
Be: 0.0000 0.0000 0.0000
Zn: 0.0000 0.0000 0.5000
Pt: 0.5000 0.5000 0.2196
Pt: 0.5000 0.5000 0.7804

* calculated total energy: -5.553 eV per atom
* energy relative to the elements: -65.16 kJ per mole of atoms
* calculated density: 15.3 g/cm3

***

No. 3
Entry from Alexandria via LeMat-Bulk: an optimized crystal structure of LiBeAsSe2 (PBEsol).

Lattice parameters (Å, degrees): 4.6023 4.6023 4.3550 90.00 90.00 90.00
Positions (direct):
Li: 0.0000 0.0000 0.0000
Be: 0.5000 0.5000 0.5000
As: 0.0000 0.0000 0.5000
Se: 0.0000 0.5000 0.0000
Se: 0.5000 0.0000 0.0000

* calculated total energy: -3.060 eV per atom
* raw formation energy: 0.694 eV per atom
* calculated density: 4.5 g/cm3